Record 1
Density functional theory data (PBE-GGA) for a relaxed structure of CdW3C2.

Cell and atoms, written as POSCAR:
```
CdW3C2
1.0
3.067 0.000 0.000
-1.533 2.656 0.000
0.000 0.000 19.615
C Cd W
4 2 6
direct
0.333 0.667 0.066
0.333 0.667 0.434
0.667 0.333 0.566
0.667 0.333 0.934
0.000 0.000 0.250
0.000 0.000 0.750
0.000 0.000 0.000
0.667 0.333 0.125
0.667 0.333 0.375
0.000 0.000 0.500
0.333 0.667 0.625
0.333 0.667 0.875
```

Properties
The calculation puts the mass density at 14.3 g cm⁻³. Its total energy is -9.458 eV/atom.

***

Record 2
Density functional theory data (PBE-GGA) for a relaxed structure of Tl2AgPdCl6.

Cell and atoms, written as POSCAR:
```
Tl2AgPdCl6
1.0
7.121 0.000 0.000
0.000 7.124 0.000
0.000 -0.003 10.082
Ag Cl Pd Tl
2 12 2 4
direct
0.450 0.550 0.000
0.950 0.050 0.500
0.189 0.806 0.000
0.194 0.289 0.001
0.949 0.050 0.241
0.451 0.550 0.259
0.203 0.314 0.499
0.214 0.796 0.500
0.686 0.303 0.500
0.697 0.786 0.501
0.449 0.549 0.741
0.951 0.050 0.759
0.706 0.812 0.999
0.712 0.294 0.000
0.950 0.050 0.000
0.450 0.550 0.500
0.950 0.550 0.250
0.450 0.050 0.250
0.450 0.050 0.750
0.950 0.550 0.750
```

Properties
The calculation puts the mass density at 5.4 g cm⁻³. Its total energy is -3.069 eV/atom.

***

Record 3
Density functional theory data (PBE-GGA) for a relaxed structure of NaGdSeO.

Cell and atoms, written as POSCAR:
```
NaGdSeO
1.0
-1.855 3.708 1.602
-6.508 -3.620 0.842
1.677 -1.666 5.799
Gd Na O Se
2 2 2 2
direct
0.500 0.866 0.029
0.500 0.134 0.529
0.000 0.290 0.117
0.000 0.710 0.617
0.500 0.117 0.189
0.500 0.883 0.689
0.000 0.676 0.156
0.000 0.324 0.656
```

Properties
The calculation puts the mass density at 4.4 g cm⁻³. The value obtained for the distance to the lowest polymorph of the same formula is 4.86 kcal/mol of atoms. Its total energy is -5.667 eV/atom.

***

Record 4
Density functional theory data (PBE-GGA) for a relaxed structure of NbTlReNi.

Cell and atoms, written as POSCAR:
```
NbTlReNi
1.0
-2.436 -2.753 -2.699
-4.188 1.226 -1.324
-0.770 1.161 -4.342
Nb Ni Re Tl
1 1 1 1
direct
0.250 0.250 0.250
0.750 0.750 0.750
0.500 0.500 0.500
0.000 0.000 0.000
```

Properties
The calculation puts the mass density at 13.4 g cm⁻³. Its total energy is -7.025 eV/atom.

***

Record 5
Density functional theory data (PBE-GGA) for a relaxed structure of SmAlNO.

Cell and atoms, written as POSCAR:
```
SmAlNO
1.0
3.818 0.000 0.000
0.000 3.818 0.000
0.000 0.000 8.707
Al N O Sm
2 2 2 2
direct
0.750 0.250 0.500
0.250 0.750 0.500
0.250 0.250 0.443
0.750 0.750 0.557
0.750 0.250 0.000
0.250 0.750 0.000
0.250 0.250 0.139
0.750 0.750 0.861
```

Properties
The calculation puts the mass density at 5.4 g cm⁻³. The value obtained for the distance to the lowest polymorph of the same formula is 3.57 kcal/mol of atoms. Its total energy is -7.196 eV/atom.

***

Record 6
Density functional theory data (PBE-GGA) for a relaxed structure of DyTm2Si4Au4.

Cell and atoms, written as POSCAR:
```
DyTm2Si4Au4
1.0
-2.125 3.468 7.074
2.125 -3.468 7.074
2.125 3.468 -7.074
Au Dy Si Tm
4 1 4 2
direct
0.631 0.334 0.297
0.963 0.666 0.297
0.369 0.666 0.703
0.037 0.334 0.703
0.000 0.000 0.000
0.217 0.217 0.000
0.783 0.783 0.000
0.676 0.500 0.176
0.324 0.500 0.824
0.624 0.124 0.500
0.376 0.876 0.500
```

Properties
The calculation puts the mass density at 11.2 g cm⁻³. Its total energy is -5.083 eV/atom.

***

Record 7
Density functional theory data (PBE-GGA) for a relaxed structure of NaCoCuS3.

Cell and atoms, written as POSCAR:
```
NaCoCuS3
1.0
6.380 -1.699 0.000
6.380 1.699 0.000
0.000 0.000 9.116
Co Cu Na S
2 2 2 6
direct
0.000 0.000 0.000
0.000 0.000 0.500
0.451 0.451 0.250
0.549 0.549 0.750
0.752 0.752 0.250
0.248 0.248 0.750
0.379 0.379 0.030
0.068 0.068 0.250
0.379 0.379 0.470
0.621 0.621 0.530
0.932 0.932 0.750
0.621 0.621 0.970
```

Properties
The calculation puts the mass density at 4.1 g cm⁻³. The value obtained for the distance to the lowest polymorph of the same formula is 1.59 kcal/mol of atoms. Its total energy is -4.477 eV/atom.

***

Record 8
Density functional theory data (PBE-GGA) for a relaxed structure of LiNd.

Cell and atoms, written as POSCAR:
```
LiNd
1.0
3.433 0.000 0.000
-1.716 2.973 0.000
0.000 0.000 5.571
Li Nd
1 1
direct
0.667 0.333 0.750
0.333 0.667 0.250
```

Properties
The calculation puts the mass density at 4.4 g cm⁻³. The value obtained for the distance to the lowest polymorph of the same formula is 0.19 kcal/mol of atoms. Its total energy is -3.179 eV/atom.

***

Record 9
Density functional theory data (PBE-GGA) for a relaxed structure of Gd3Ta2C6.

Cell and atoms, written as POSCAR:
```
Gd3Ta2C6
1.0
-2.008 2.008 10.569
2.008 -2.008 10.569
2.008 2.008 -10.569
C Gd Ta
6 3 2
direct
0.301 0.301 0.000
0.699 0.699 0.000
0.578 0.078 0.500
0.922 0.422 0.500
0.078 0.578 0.500
0.422 0.922 0.500
0.000 0.000 0.000
0.188 0.188 0.000
0.812 0.812 0.000
0.397 0.397 0.000
0.603 0.603 0.000
```

Properties
The calculation puts the mass density at 8.8 g cm⁻³. Its total energy is -8.336 eV/atom.

***

Record 10
Density functional theory data (PBE-GGA) for a relaxed structure of LuTlCdCo.

Cell and atoms, written as POSCAR:
```
LuTlCdCo
1.0
-3.381 -1.997 2.808
-0.882 1.821 4.382
-4.129 2.352 0.850
Cd Co Lu Tl
1 1 1 1
direct
0.500 0.500 0.500
0.750 0.750 0.750
0.250 0.250 0.250
0.000 0.000 0.000
```

Properties
The calculation puts the mass density at 11.5 g cm⁻³. The value obtained for the distance to the lowest polymorph of the same formula is 0.00 kcal/mol of atoms. Its total energy is -3.606 eV/atom.

***

Record 11
Density functional theory data (PBE-GGA) for a relaxed structure of YBeNbFe.

Cell and atoms, written as POSCAR:
```
YBeNbFe
1.0
0.000 3.179 3.179
3.179 0.000 3.179
3.179 3.179 0.000
Be Fe Nb Y
1 1 1 1
direct
0.750 0.750 0.750
0.000 0.000 0.000
0.500 0.500 0.500
0.250 0.250 0.250
```

Properties
The calculation puts the mass density at 6.4 g cm⁻³. The value obtained for the distance to the lowest polymorph of the same formula is 9.16 kcal/mol of atoms. Its total energy is -6.534 eV/atom.

***

Record 12
Density functional theory data (PBE-GGA) for a relaxed structure of RbSm2Cu3SeS4.

Cell and atoms, written as POSCAR:
```
RbSm2Cu3SeS4
1.0
2.017 -7.006 0.000
2.017 7.006 0.000
0.000 0.000 17.087
Cu Rb S Se Sm
6 2 8 2 4
direct
0.084 0.916 0.037
0.848 0.152 0.250
0.084 0.916 0.463
0.916 0.084 0.537
0.152 0.848 0.750
0.916 0.084 0.963
0.561 0.439 0.250
0.439 0.561 0.750
0.664 0.336 0.070
0.942 0.058 0.112
0.942 0.058 0.388
0.664 0.336 0.430
0.336 0.664 0.570
0.058 0.942 0.612
0.058 0.942 0.888
0.336 0.664 0.930
0.256 0.744 0.250
0.744 0.256 0.750
0.310 0.690 0.090
0.310 0.690 0.410
0.690 0.310 0.590
0.690 0.310 0.910
```

Properties
The calculation puts the mass density at 5.4 g cm⁻³. Its total energy is -4.966 eV/atom.

***

Q: What is the mass density in the eleventh record?
A: 6.4 g cm⁻³

***

Q: Which of these has the lowest mass density?
A: NaCoCuS3

***

Q: The highest mass density belongs to which entry?
A: CdW3C2

***

Q: Which formula does entry 12 have?
A: RbSm2Cu3SeS4